Record 1
# Sr2TlIn4Hg3 (PBE, relaxed)
data_Sr2TlIn4Hg3
_chemical_formula_sum 'Sr2 Tl1 In4 Hg3'
_space_group_name_H-M_alt 'P -4 m 2'
_space_group_IT_number 115
_cell_length_a 4.939
_cell_length_b 4.939
_cell_length_c 12.098
_cell_angle_alpha 90.00
_cell_angle_beta 90.00
_cell_angle_gamma 90.00
loop_
_space_group_symop_operation_xyz
'x,y,z'
'y,-x,-z'
'-x,-y,z'
'-y,x,-z'
'-x,y,z'
'-y,-x,-z'
'x,-y,z'
'y,x,-z'
loop_
_atom_site_label
_atom_site_type_symbol
_atom_site_fract_x
_atom_site_fract_y
_atom_site_fract_z
_atom_site_occupancy
Sr1 Sr 0.000 0.500 0.249 1
Tl1 Tl 0.000 0.000 0.500 1
In1 In 0.000 0.000 0.000 1
In2 In 0.000 0.500 0.637 1
In3 In 0.500 0.500 0.000 1
Hg1 Hg 0.000 0.500 0.865 1
Hg2 Hg 0.500 0.500 0.500 1
# **V**: 29.5 A^3/atom
# **ΔH_f (0 K)**: -0.28 eV/atom
# **ρ**: 8108 kg/m3
# **Crystal system**: tetragonal

=====

Record 2
# Tl2VInCl6 (PBE, relaxed)
data_Tl2VInCl6
_chemical_formula_sum 'Tl2 V1 In1 Cl6'
_space_group_name_H-M_alt 'P -1'
_space_group_IT_number 2
_cell_length_a 7.260
_cell_length_b 7.265
_cell_length_c 7.286
_cell_angle_alpha 64.97
_cell_angle_beta 64.99
_cell_angle_gamma 64.95
loop_
_space_group_symop_operation_xyz
'x,y,z'
'-x,-y,-z'
loop_
_atom_site_label
_atom_site_type_symbol
_atom_site_fract_x
_atom_site_fract_y
_atom_site_fract_z
_atom_site_occupancy
Tl1 Tl 0.234 0.235 0.233 1
V1 V 0.000 0.000 0.000 1
In1 In 0.500 0.500 0.500 1
Cl1 Cl 0.130 0.809 0.304 1
Cl2 Cl 0.192 0.696 0.869 1
Cl3 Cl 0.304 0.131 0.811 1
# **V**: 30.1 A^3/atom
# **ΔE_f (raw)**: -1.065 eV per atom
# **ρ**: 4340 kg/m3
# **Crystal system**: triclinic

=====

Record 3
# Ta2WAu (PBE, relaxed)
data_Ta2WAu
_chemical_formula_sum 'Ta8 W4 Au4'
_space_group_name_H-M_alt 'I -4 2 d'
_space_group_IT_number 122
_space_group_name_Hall 'I -4 2bw'
_cell_length_a 7.369
_cell_length_b 7.369
_cell_length_c 5.597
_cell_angle_alpha 90.00
_cell_angle_beta 90.00
_cell_angle_gamma 90.00
loop_
_atom_site_label
_atom_site_type_symbol
_atom_site_fract_x
_atom_site_fract_y
_atom_site_fract_z
_atom_site_occupancy
Ta1 Ta 0.243 0.250 0.125 1
W1 W 0.000 0.000 0.000 1
Au1 Au 0.000 0.000 0.500 1
# **V**: 19.0 A^3/atom
# **ΔH_f (0 K)**: 0.70 eV/atom
# **ρ**: 16231 kg/m3
# **Crystal system**: tetragonal
# **Relative energy among the computed polymorphs**: 0.7498 eV/atom

=====

Record 4
# Mg2AlP2Ru5 (PBE, relaxed)
data_Mg2AlP2Ru5
_chemical_formula_sum 'Mg4 Al2 P4 Ru10'
_space_group_name_H-M_alt 'P 4/m b m'
_space_group_IT_number 127
_space_group_name_Hall '-P 4 2ab'
_cell_length_a 9.727
_cell_length_b 9.727
_cell_length_c 3.073
_cell_angle_alpha 90.00
_cell_angle_beta 90.00
_cell_angle_gamma 90.00
loop_
_atom_site_label
_atom_site_type_symbol
_atom_site_fract_x
_atom_site_fract_y
_atom_site_fract_z
_atom_site_occupancy
Mg1 Mg 0.172 0.328 0.000 1
Al1 Al 0.000 0.000 0.000 1
P1 P 0.131 0.631 0.000 1
Ru1 Ru 0.000 0.500 0.500 1
Ru2 Ru 0.072 0.795 0.500 1
# **V**: 14.5 A^3/atom
# **ΔH_f (0 K)**: -0.49 eV/atom
# **ρ**: 7344 kg/m3
# **Crystal system**: tetragonal

=====

Record 5
# SmTaCo4 (PBE, relaxed)
data_SmTaCo4
_chemical_formula_sum 'Sm4 Ta4 Co16'
_space_group_name_H-M_alt 'F -4 3 m'
_space_group_IT_number 216
_space_group_name_Hall 'F -4 2 3'
_cell_length_a 6.973
_cell_length_b 6.973
_cell_length_c 6.973
_cell_angle_alpha 90.00
_cell_angle_beta 90.00
_cell_angle_gamma 90.00
loop_
_atom_site_label
_atom_site_type_symbol
_atom_site_fract_x
_atom_site_fract_y
_atom_site_fract_z
_atom_site_occupancy
Sm1 Sm 0.000 0.000 0.000 1
Ta1 Ta 0.250 0.250 0.750 1
Co1 Co 0.124 0.124 0.376 1
# **V**: 14.1 A^3/atom
# **ΔH_f (0 K)**: 0.01 eV/atom
# **ρ**: 11108 kg/m3
# **Crystal system**: cubic

=====

Record 6
# PmBe4GePt2 (PBE, relaxed)
data_PmBe4GePt2
_chemical_formula_sum 'Pm3 Be12 Ge3 Pt6'
_space_group_name_H-M_alt 'R -3 m'
_space_group_IT_number 166
_space_group_name_Hall '-R 3 2"'
_cell_length_a 3.9699
_cell_length_b 3.9699
_cell_length_c 26.4161
_cell_angle_alpha 90.00
_cell_angle_beta 90.00
_cell_angle_gamma 120.00
loop_
_atom_site_label
_atom_site_type_symbol
_atom_site_fract_x
_atom_site_fract_y
_atom_site_fract_z
_atom_site_occupancy
Pm1 Pm 0.0000 0.0000 0.0000 1
Be1 Be 0.0000 0.0000 0.1117 1
Be2 Be 0.0000 0.0000 0.4118 1
Ge1 Ge 0.0000 0.0000 0.5000 1
Pt1 Pt 0.0000 0.0000 0.2460 1
# **V**: 15.0 A^3/atom
# **ΔH_f (0 K)**: -0.40 eV/atom
# **ρ**: 8896 kg/m3
# **Crystal system**: trigonal

=====

Record 7
# YAl4Rh (PBE, relaxed)
data_YAl4Rh
_chemical_formula_sum 'Y4 Al16 Rh4'
_space_group_name_H-M_alt 'I 4/m c m'
_space_group_IT_number 140
_space_group_name_Hall '-I 4 2c'
_cell_length_a 6.468
_cell_length_b 6.468
_cell_length_c 11.556
_cell_angle_alpha 90.00
_cell_angle_beta 90.00
_cell_angle_gamma 90.00
loop_
_atom_site_label
_atom_site_type_symbol
_atom_site_fract_x
_atom_site_fract_y
_atom_site_fract_z
_atom_site_occupancy
Y1 Y 0.000 0.000 0.000 1
Al1 Al 0.149 0.351 0.165 1
Rh1 Rh 0.000 0.000 0.250 1
# **V**: 20.1 A^3/atom
# **ΔH_f (0 K)**: -0.39 eV/atom
# **ρ**: 4118 kg/m3
# **Crystal system**: tetragonal

=====

Record 8
# K3La2ErS6 (PBE, relaxed)
data_K3La2ErS6
_chemical_formula_sum 'K6 La4 Er2 S12'
_space_group_name_H-M_alt 'C 1 2/m 1'
_space_group_IT_number 12
_cell_length_a 7.279
_cell_length_b 12.607
_cell_length_c 7.764
_cell_angle_alpha 90.00
_cell_angle_beta 108.25
_cell_angle_gamma 90.00
loop_
_space_group_symop_operation_xyz
'x,y,z'
'-x,-y,-z'
'-x,y,-z'
'x,-y,z'
'x+1/2,y+1/2,z'
'-x+1/2,-y+1/2,-z'
'-x+1/2,y+1/2,-z'
'x+1/2,-y+1/2,z'
loop_
_atom_site_label
_atom_site_type_symbol
_atom_site_fract_x
_atom_site_fract_y
_atom_site_fract_z
_atom_site_occupancy
K1 K 0.000 0.000 0.000 1
K2 K 0.000 0.333 0.000 1
La1 La 0.000 0.167 0.500 1
Er1 Er 0.000 0.500 0.500 1
S1 S 0.228 0.340 0.705 1
S2 S 0.249 0.000 0.705 1
# **V**: 28.2 A^3/atom
# **ΔE_f (raw)**: -1.904 eV per atom
# **ρ**: 3705 kg/m3
# **Crystal system**: monoclinic

=====

Record 9
# Y4SO5 (PBE, relaxed)
data_Y4SO5
_chemical_formula_sum 'Y8 S2 O10'
_space_group_name_H-M_alt 'P m m n'
_space_group_IT_number 59
_cell_length_a 7.158
_cell_length_b 8.857
_cell_length_c 5.599
_cell_angle_alpha 90.00
_cell_angle_beta 90.00
_cell_angle_gamma 90.00
loop_
_space_group_symop_operation_xyz
'x,y,z'
'-x,-y,-z'
'-x+1/2,-y+1/2,z'
'x+1/2,y+1/2,-z'
'x+1/2,-y,-z'
'-x+1/2,y,z'
'-x,y+1/2,-z'
'x,-y+1/2,z'
loop_
_atom_site_label
_atom_site_type_symbol
_atom_site_fract_x
_atom_site_fract_y
_atom_site_fract_z
_atom_site_occupancy
Y1 Y 0.008 0.250 0.015 1
Y2 Y 0.250 0.023 0.528 1
S1 S 0.250 0.750 0.307 1
O1 O 0.005 0.069 0.267 1
O2 O 0.250 0.250 0.767 1
# **V**: 17.7 A^3/atom
# **ΔE_f (raw)**: -3.070 eV per atom
# **ρ**: 4376 kg/m3
# **Crystal system**: orthorhombic

=====

Record 10
# RbVH3 (PBE, relaxed)
data_RbVH3
_chemical_formula_sum 'Rb1 V1 H3'
_space_group_name_H-M_alt 'P m -3 m'
_space_group_IT_number 221
_space_group_name_Hall '-P 4 2 3'
_cell_length_a 4.641
_cell_length_b 4.641
_cell_length_c 4.641
_cell_angle_alpha 90.00
_cell_angle_beta 90.00
_cell_angle_gamma 90.00
loop_
_atom_site_label
_atom_site_type_symbol
_atom_site_fract_x
_atom_site_fract_y
_atom_site_fract_z
_atom_site_occupancy
Rb1 Rb 0.000 0.000 0.000 1
V1 V 0.500 0.500 0.500 1
H1 H 0.000 0.000 0.500 1
# **V**: 20.0 A^3/atom
# **ρ**: 2316 kg/m3
# **Crystal system**: cubic
# **Relative energy among the computed polymorphs**: 1.4243 eV/atom

=====

Number 1: electronic total energy -2.035 eV/atom. Number 2: electronic total energy -3.832 eV/atom. Number 3: electronic total energy -9.280 eV/atom. Number 4: electronic total energy -6.902 eV/atom. Number 5: electronic total energy -7.493 eV/atom. Number 6: electronic total energy -4.949 eV/atom. Number 7: electronic total energy -5.188 eV/atom. Number 8: electronic total energy -5.443 eV/atom. Number 9: electronic total energy -8.548 eV/atom. Number 10: electronic total energy -2.555 eV/atom.